Record 1
Sm2TmTh: relaxed, PBE.

Cell and atoms, written as CIF:
```
data_Sm2TmTh
_symmetry_space_group_name_H-M 'R 3 m'
_symmetry_Int_Tables_number 160
_symmetry_space_group_name_Hall 'R 3 -2"'
_cell_length_a 3.6054
_cell_length_b 3.6054
_cell_length_c 34.6744
_cell_angle_alpha 90.00
_cell_angle_beta 90.00
_cell_angle_gamma 120.00
loop_
_atom_site_label
_atom_site_type_symbol
_atom_site_fract_x
_atom_site_fract_y
_atom_site_fract_z
Sm1 Sm 0.0000 0.0000 0.0000
Sm2 Sm 0.0000 0.0000 0.1676
Tm1 Tm 0.0000 0.0000 0.4176
Th1 Th 0.0000 0.0000 0.5837
```

Properties
energy above the lowest structure with this stoichiometry	0	meV/atom
energy of formation from the pure elements	22	meV/atom

=====

Record 2
SmTmTh: relaxed, PBE.

Cell and atoms, written as CIF:
```
data_SmTmTh
_symmetry_space_group_name_H-M 'P 1 21/m 1'
_symmetry_Int_Tables_number 11
_symmetry_space_group_name_Hall '-P 2yb'
_cell_length_a 3.6000
_cell_length_b 5.7832
_cell_length_c 9.4929
_cell_angle_alpha 90.00
_cell_angle_beta 100.90
_cell_angle_gamma 90.00
loop_
_atom_site_label
_atom_site_type_symbol
_atom_site_fract_x
_atom_site_fract_y
_atom_site_fract_z
Sm1 Sm 0.0559 0.2500 0.1133
Tm1 Tm 0.3868 0.2500 0.7729
Th1 Th 0.2743 0.7500 0.5499
```

Properties
energy above the lowest structure with this stoichiometry	6	meV/atom
energy of formation from the pure elements	32	meV/atom

=====

Record 3
Sm7Tm16Th6: relaxed, PBE.

Cell and atoms, written as CIF:
```
data_Sm7Tm16Th6
_symmetry_space_group_name_H-M 'F m -3 m'
_symmetry_Int_Tables_number 225
_symmetry_space_group_name_Hall '-F 4 2 3'
_cell_length_a 15.5969
_cell_length_b 15.5969
_cell_length_c 15.5969
_cell_angle_alpha 90.00
_cell_angle_beta 90.00
_cell_angle_gamma 90.00
loop_
_atom_site_label
_atom_site_type_symbol
_atom_site_fract_x
_atom_site_fract_y
_atom_site_fract_z
Sm1 Sm 0.0000 0.0000 0.0000
Sm2 Sm 0.0000 0.2500 0.2500
Tm1 Tm 0.1215 0.1215 0.1215
Tm2 Tm 0.1586 0.1586 0.3414
Th1 Th 0.0000 0.0000 0.3303
```

Properties
energy of formation from the pure elements	325	meV/atom

=====

Record 4
SmTm4Th2: relaxed, PBE.

Cell and atoms, written as CIF:
```
data_SmTm4Th2
_symmetry_space_group_name_H-M 'P -1'
_symmetry_Int_Tables_number 2
_symmetry_space_group_name_Hall '-P 1'
_cell_length_a 3.4842
_cell_length_b 8.7071
_cell_length_c 8.7408
_cell_angle_alpha 119.59
_cell_angle_beta 90.05
_cell_angle_gamma 101.47
loop_
_atom_site_label
_atom_site_type_symbol
_atom_site_fract_x
_atom_site_fract_y
_atom_site_fract_z
Sm1 Sm 0.0000 0.0000 0.0000
Tm1 Tm 0.2949 0.5879 0.7065
Tm2 Tm 0.3511 0.7036 0.1536
Th1 Th 0.0682 0.1378 0.4348
```

Properties
energy above the lowest structure with this stoichiometry	0	meV/atom
energy of formation from the pure elements	91	meV/atom

=====

Record 5
Sm3Tm5Th: relaxed, PBE.

Cell and atoms, written as CIF:
```
data_Sm3Tm5Th
_symmetry_space_group_name_H-M 'P 63/m c m'
_symmetry_Int_Tables_number 193
_symmetry_space_group_name_Hall '-P 6c 2'
_cell_length_a 9.6700
_cell_length_b 9.6700
_cell_length_c 6.9778
_cell_angle_alpha 90.00
_cell_angle_beta 90.00
_cell_angle_gamma 120.00
loop_
_atom_site_label
_atom_site_type_symbol
_atom_site_fract_x
_atom_site_fract_y
_atom_site_fract_z
Sm1 Sm 0.0000 0.3381 0.2500
Tm1 Tm 0.0000 0.3293 0.7500
Tm2 Tm 0.3333 0.6667 0.0000
Th1 Th 0.0000 0.0000 0.0000
```

Properties
energy of formation from the pure elements	63	meV/atom

=====

Record 6
Sm5Tm4Th3: relaxed, PBE.

Cell and atoms, written as CIF:
```
data_Sm5Tm4Th3
_symmetry_space_group_name_H-M 'C 1 2/m 1'
_symmetry_Int_Tables_number 12
_symmetry_space_group_name_Hall '-C 2y'
_cell_length_a 17.8274
_cell_length_b 5.7672
_cell_length_c 8.7070
_cell_angle_alpha 90.00
_cell_angle_beta 116.01
_cell_angle_gamma 90.00
loop_
_atom_site_label
_atom_site_type_symbol
_atom_site_fract_x
_atom_site_fract_y
_atom_site_fract_z
Sm1 Sm 0.0000 0.0000 0.0000
Sm2 Sm 0.1025 0.5000 0.4369
Sm3 Sm 0.1623 0.5000 0.8884
Tm1 Tm 0.0315 0.0000 0.6967
Tm2 Tm 0.2073 0.0000 0.6521
Th1 Th 0.0000 0.5000 0.0000
Th2 Th 0.1815 0.0000 0.2244
```

Properties
energy of formation from the pure elements	335	meV/atom

=====

Record 7
Sm4Tm8Th: relaxed, PBE.

Cell and atoms, written as CIF:
```
data_Sm4Tm8Th
_symmetry_space_group_name_H-M 'R -3 m'
_symmetry_Int_Tables_number 166
_symmetry_space_group_name_Hall '-R 3 2"'
_cell_length_a 10.9409
_cell_length_b 10.9409
_cell_length_c 13.3578
_cell_angle_alpha 90.00
_cell_angle_beta 90.00
_cell_angle_gamma 120.00
loop_
_atom_site_label
_atom_site_type_symbol
_atom_site_fract_x
_atom_site_fract_y
_atom_site_fract_z
Sm1 Sm 0.0000 0.0000 0.0000
Sm2 Sm 0.0000 0.5000 0.0000
Tm1 Tm 0.0000 0.0000 0.2408
Tm2 Tm 0.0119 0.5059 0.7463
Th1 Th 0.0000 0.0000 0.5000
```

Properties
energy of formation from the pure elements	522	meV/atom

=====

Record 8
Sm3Tm2Th4: relaxed, PBE.

Cell and atoms, written as CIF:
```
data_Sm3Tm2Th4
_symmetry_space_group_name_H-M 'P -1'
_symmetry_Int_Tables_number 2
_symmetry_space_group_name_Hall '-P 1'
_cell_length_a 6.1850
_cell_length_b 6.1901
_cell_length_c 9.4263
_cell_angle_alpha 71.23
_cell_angle_beta 71.28
_cell_angle_gamma 60.21
loop_
_atom_site_label
_atom_site_type_symbol
_atom_site_fract_x
_atom_site_fract_y
_atom_site_fract_z
Sm1 Sm 0.0000 0.0000 0.0000
Sm2 Sm 0.4431 0.1138 0.6683
Tm1 Tm 0.2234 0.5582 0.3320
Th1 Th 0.1033 0.7744 0.6688
Th2 Th 0.3308 0.3383 0.0008
```

Properties
energy of formation from the pure elements	60	meV/atom

=====

Record 9
Sm8Tm3Th: relaxed, PBE.

Cell and atoms, written as CIF:
```
data_Sm8Tm3Th
_symmetry_space_group_name_H-M 'P 1'
_symmetry_Int_Tables_number 1
_symmetry_space_group_name_Hall 'P 1'
_cell_length_a 3.6628
_cell_length_b 8.5246
_cell_length_c 12.7431
_cell_angle_alpha 90.30
_cell_angle_beta 90.02
_cell_angle_gamma 90.00
loop_
_atom_site_label
_atom_site_type_symbol
_atom_site_fract_x
_atom_site_fract_y
_atom_site_fract_z
Sm1 Sm 0.0000 0.0000 0.0000
Sm2 Sm 0.0001 0.0427 0.6890
Sm3 Sm 0.0005 0.5553 0.0559
Sm4 Sm 0.9997 0.5591 0.3386
Sm5 Sm 0.5000 0.2982 0.8861
Sm6 Sm 0.5001 0.7287 0.5552
Sm7 Sm 0.5010 0.7282 0.8331
Sm8 Sm 0.5016 0.2433 0.2040
Tm1 Tm 0.0001 0.4509 0.6895
Tm2 Tm 0.0007 0.9956 0.3963
Tm3 Tm 0.4999 0.2909 0.4954
Th1 Th 0.4999 0.8380 0.1978
```

Properties
energy of formation from the pure elements	60	meV/atom

=====

Record 10
Sm5YTm2Th: relaxed, PBE.

Cell and atoms, written as CIF:
```
data_Sm5YTm2Th
_symmetry_space_group_name_H-M 'C m c 21'
_symmetry_Int_Tables_number 36
_symmetry_space_group_name_Hall 'C 2c -2'
_cell_length_a 5.6171
_cell_length_b 20.3753
_cell_length_c 10.5375
_cell_angle_alpha 90.00
_cell_angle_beta 90.00
_cell_angle_gamma 90.00
loop_
_atom_site_label
_atom_site_type_symbol
_atom_site_fract_x
_atom_site_fract_y
_atom_site_fract_z
Sm1 Sm 0.0000 0.0137 0.0000
Sm2 Sm 0.0000 0.2759 0.2933
Sm3 Sm 0.0000 0.2940 0.6861
Sm4 Sm 0.0000 0.3866 0.0067
Sm5 Sm 0.0000 0.4804 0.7248
Y1 Y 0.0000 0.4063 0.4372
Tm1 Tm 0.0000 0.1123 0.7190
Tm2 Tm 0.0000 0.1147 0.2915
Th1 Th 0.0000 0.1995 0.9935
```

Properties
energy of formation from the pure elements	165	meV/atom

=====

Record 11
Sm6Y3Tm2Th: relaxed, PBE.

Cell and atoms, written as CIF:
```
data_Sm6Y3Tm2Th
_symmetry_space_group_name_H-M 'C 1 2/m 1'
_symmetry_Int_Tables_number 12
_symmetry_space_group_name_Hall '-C 2y'
_cell_length_a 6.2149
_cell_length_b 10.7601
_cell_length_c 11.9039
_cell_angle_alpha 90.00
_cell_angle_beta 100.07
_cell_angle_gamma 90.00
loop_
_atom_site_label
_atom_site_type_symbol
_atom_site_fract_x
_atom_site_fract_y
_atom_site_fract_z
Sm1 Sm 0.2471 0.0000 0.2526
Sm2 Sm 0.2482 0.1652 0.7478
Y1 Y 0.0000 0.1670 0.0000
Y2 Y 0.0000 0.5000 0.0000
Tm1 Tm 0.0000 0.3332 0.5000
Th1 Th 0.0000 0.0000 0.5000
```

Properties
energy of formation from the pure elements	30	meV/atom

=====

Record 12
Sm3Y6Tm2Th: relaxed, PBE.

Cell and atoms, written as CIF:
```
data_Sm3Y6Tm2Th
_symmetry_space_group_name_H-M 'C 1 2/m 1'
_symmetry_Int_Tables_number 12
_symmetry_space_group_name_Hall '-C 2y'
_cell_length_a 6.1925
_cell_length_b 10.7230
_cell_length_c 11.8400
_cell_angle_alpha 90.00
_cell_angle_beta 100.05
_cell_angle_gamma 90.00
loop_
_atom_site_label
_atom_site_type_symbol
_atom_site_fract_x
_atom_site_fract_y
_atom_site_fract_z
Sm1 Sm 0.0000 0.0000 0.0000
Sm2 Sm 0.0000 0.3328 0.0000
Y1 Y 0.2481 0.3348 0.7468
Y2 Y 0.2476 0.5000 0.2533
Tm1 Tm 0.0000 0.1668 0.5000
Th1 Th 0.0000 0.5000 0.5000
```

Properties
energy of formation from the pure elements	21	meV/atom